{"formula": "BaBIF4", "functional": "PBE", "state": "optimized geometry", "sg": "C2/m", "magnetic_moment_mub_per_fu": 0.0, "total_energy_ev_per_fu": -37.8, "dos_at_fermi_per_ev_fu": 0.0, "formation_energy_uncorrected_ev_per_atom": -2.887, "lattice": [[-0.8201, -3.9722, 5.4391], [3.8953, -5.5445, 0.3453], [6.4942, 1.6725, 5.4955]], "species": ["F", "I", "F", "F", "F", "F", "F", "Ba", "Ba", "F", "I", "F", "B", "B"], "fractional_positions": [[0.5434, 0.2187, 0.2131], [0.8999, 0.8999, 0.7970], [0.4671, 0.4671, 0.7266], [0.6694, 0.6694, 0.5408], [0.2187, 0.5434, 0.2131], [0.4566, 0.7813, 0.7869], [0.3306, 0.3306, 0.4592], [0.2221, 0.2221, 0.7862], [0.7779, 0.7779, 0.2138], [0.5329, 0.5329, 0.2734], [0.1001, 0.1001, 0.2030], [0.7813, 0.4566, 0.7869], [0.4071, 0.4071, 0.2884], [0.5929, 0.5929, 0.7116]]}